Entry from the Alexandria database: an optimized crystal structure of YMn4Cu3O12 (GGA-PBEsol).

abc: 7.171 7.171 7.171
angles: 90.00 90.00 90.00
Space group Im-3 (No. 204)
Asymmetric unit:
Y (0.000, 0.000, 0.000)
Mn (0.250, 0.250, 0.250)
Cu (0.000, 0.000, 0.500)
O (0.000, 0.177, 0.298)

Summary:
DFT total energy: -0.284 hartree per atom
magnetization: 9.44 μB per formula unit